Entry 1:
Compound: Pr2Nd2Br5N2
Source: the Open Quantum Materials Database
Functional: PBE
Structure: optimized geometry

Cell: 19.1106 3.7672 8.3851 Å, 90.00 105.17 90.00°
Closest atoms and distances in Å follow each position.
Space group C2/m (No. 12)
Unique sites:
Pr 0.9999 0.0000 0.1974 x4  4 N 2.60
Nd 0.1614 0.5000 0.1035 x4  1 N 2.29
Br 0.0000 0.5000 0.5000 x2  4 Pr 3.16
Br 0.1604 0.0000 0.3800 x4  2 Nd 2.99, 1 Pr 3.05
Br 0.1694 0.0000 0.8223 x4  3 Nd 3.05-3.13, 1 Pr 3.20
N 0.0373 0.5000 0.0229 x4  1 N 1.38

Results
Total energy ... -5.49 eV/atom

Entry 2:
Compound: Nd6S4BrN3
Source: the Open Quantum Materials Database
Functional: PBE
Structure: optimized geometry

Cell: 11.4798 4.0214 27.3058 Å, 90.00 90.00 90.00°
Closest atoms and distances in Å follow each position.
Space group Pnma (No. 62)
Unique sites:
Nd 0.0576 0.2500 0.0779 x4  2 N 2.39
Nd 0.0629 0.2500 0.8073 x4  2 N 2.33-2.35
Nd 0.0997 0.2500 0.5353 x4  3 N 2.35-2.42
Nd 0.1241 0.2500 0.2831 x4  2 N 2.37
Nd 0.2435 0.7500 0.1708 x4  2 N 2.37-2.44
Nd 0.2486 0.7500 0.4357 x4  1 N 2.20
S 0.1368 0.7500 0.7354 x4  6 Nd 2.94-3.04
S 0.1424 0.7500 0.9939 x4  4 Nd 2.85-3.17
S 0.1920 0.7500 0.8619 x4  5 Nd 2.91-3.01
S 0.2068 0.7500 0.6020 x4  5 Nd 2.78-2.98
Br 0.0383 0.7500 0.3626 x4  4 Nd 3.12-3.21, 1 N 3.44
N 0.0605 0.7500 0.1251 x4  4 Nd 2.33-2.44
N 0.0987 0.7500 0.4860 x4  4 Nd 2.20-2.42
N 0.1120 0.7500 0.2376 x4  4 Nd 2.35-2.37

Results
Total energy ... -6.96 eV/atom

Entry 3:
Compound: Nd3SeBrN2
Source: the Open Quantum Materials Database
Functional: PBE
Structure: optimized geometry

Cell: 13.2833 4.1153 12.7168 Å, 90.00 90.00 90.00°
Closest atoms and distances in Å follow each position.
Space group Pnma (No. 62)
Unique sites:
Nd 0.0212 0.2500 0.1144 x4  4 N 2.34-2.59
Nd 0.0888 0.7500 0.6113 x4  1 N 2.18
Nd 0.1972 0.2500 0.8446 x4  3 N 2.23-2.36
Se 0.0651 0.7500 0.3558 x4  4 Nd 2.93-3.26
Br 0.2437 0.7500 0.0621 x4  2 Nd 3.09
N 0.0530 0.2500 0.9336 x4  4 Nd 2.23-2.36
N 0.1419 0.7500 0.7735 x4  3 Nd 2.18-2.36

Results
Total energy ... -6.74 eV/atom

Entry 4:
Compound: TbNdBr3N
Source: the Open Quantum Materials Database
Functional: PBE
Structure: optimized geometry

Cell: 18.0963 3.9551 11.6149 Å, 90.00 124.15 90.00°
Closest atoms and distances in Å follow each position.
Space group C2/m (No. 12)
Unique sites:
Tb 0.1364 0.0000 0.2865 x4  2 N 2.35
Nd 0.0790 0.5000 0.9577 x4  2 N 2.34
Br 0.0361 0.0000 0.7381 x4  2 Nd 2.97, 1 Tb 2.97
Br 0.1683 0.5000 0.5096 x4  3 Tb 2.95-3.05
Br 0.2232 0.0000 0.1263 x4  2 Nd 2.97, 1 Tb 3.03
N 0.0766 0.5000 0.1572 x4  2 Nd 2.34, 2 Tb 2.35

Results
Energy relative to the lowest polymorph listed for this composition ... 3.80 kJ/mol of atoms

Entry 5:
Compound: TbNdBr3N
Source: the Open Quantum Materials Database
Functional: PBE
Structure: optimized geometry

Cell: 18.2723 3.9907 11.7146 Å, 90.00 123.77 90.00°
Closest atoms and distances in Å follow each position.
Space group C2/m (No. 12)
Unique sites:
Tb 0.0751 0.0000 0.4593 x4  2 N 2.25
Nd 0.1362 0.5000 0.7851 x4  2 N 2.41
Br 0.0425 0.5000 0.2540 x4  2 Tb 2.92, 1 Nd 3.04
Br 0.1652 0.0000 0.0110 x4  3 Nd 3.04-3.12
Br 0.2142 0.5000 0.6132 x4  2 Tb 2.93, 1 Nd 3.05
N 0.0725 0.0000 0.6495 x4  2 Tb 2.25, 2 Nd 2.41

Results
Energy relative to the lowest polymorph listed for this composition ... 0.00 kJ/mol of atoms

Entry 6:
Compound: NdYBr3N
Source: the Open Quantum Materials Database
Functional: PBE
Structure: optimized geometry

Cell: 18.6010 3.9706 11.8044 Å, 90.00 124.50 90.00°
Closest atoms and distances in Å follow each position.
Space group C2/m (No. 12)
Unique sites:
Nd 0.1363 0.0000 0.2854 x4  2 N 2.40
Y 0.0732 0.5000 0.9599 x4  2 N 2.25
Br 0.0401 0.0000 0.7547 x4  2 Y 2.91, 1 Nd 3.04
Br 0.1669 0.5000 0.5116 x4  3 Nd 3.03-3.11
Br 0.2114 0.0000 0.1131 x4  2 Y 2.92, 1 Nd 3.05
N 0.0725 0.5000 0.1498 x4  2 Y 2.25, 2 Nd 2.40

Results
Energy relative to the lowest polymorph listed for this composition ... 0.00 kJ/mol of atoms

Entry 7:
Compound: NdYBr3N
Source: the Open Quantum Materials Database
Functional: PBE
Structure: optimized geometry

Cell: 17.9803 3.9526 11.5192 Å, 90.00 123.79 90.00°
Closest atoms and distances in Å follow each position.
Space group C2/m (No. 12)
Unique sites:
Nd 0.0796 0.0000 0.4568 x4  2 N 2.34-2.35
Y 0.1361 0.5000 0.7860 x4  2 N 2.34
Br 0.0367 0.5000 0.2354 x4  2 Nd 2.97, 1 Y 2.98
Br 0.1682 0.0000 0.0106 x4  3 Y 2.95-3.04
Br 0.2241 0.5000 0.6242 x4  2 Nd 2.97, 1 Y 3.04
N 0.0767 0.0000 0.6572 x4  2 Nd 2.34-2.35, 2 Y 2.34

Results
Energy relative to the lowest polymorph listed for this composition ... 4.18 kJ/mol of atoms

Entry 8:
Compound: NdYBr2N
Source: the Open Quantum Materials Database
Functional: PBE
Structure: optimized geometry

Cell: 3.7296 3.7296 10.5711 Å, 90.00 90.00 120.00°
Closest atoms and distances in Å follow each position.
Space group P3m1 (No. 156)
Unique sites:
Nd 0.0000 0.0000 0.0000 x1  3 N 2.60
Y 0.6667 0.3333 0.7483 x1  3 N 2.46
Br 0.0000 0.0000 0.5657 x1  3 Y 2.89
Br 0.6667 0.3333 0.1936 x1  3 Nd 2.97
N 0.3333 0.6667 0.8614 x1  3 Y 2.46, 3 Nd 2.60

Results
Total energy ... -6.26 eV/atom

Entry 9:
Compound: NiBrN
Source: the Open Quantum Materials Database
Functional: PBE
Structure: optimized geometry

Cell: 3.1597 3.7484 8.2984 Å, 90.00 90.00 90.00°
Closest atoms and distances in Å follow each position.
Space group Pmmn (No. 59, origin choice 2)
Unique sites:
Ni 0.2500 0.2500 0.0967 x2  4 N 1.92-1.96
Br 0.2500 0.7500 0.6837 x2  2 Ni 2.41
N 0.2500 0.7500 0.0439 x2  4 Ni 1.92-1.96

Results
Total energy ... -4.80 eV/atom

Entry 10:
Compound: Zn4PBr2N
Source: the Open Quantum Materials Database
Functional: PBE
Structure: optimized geometry

Cell: 5.6083 5.6083 10.7189 Å, 90.00 90.00 90.00°
Closest atoms and distances in Å follow each position.
Space group I-4 (No. 82)
Unique sites:
Zn 0.1469 0.2771 0.3646 x8  1 N 1.94
P 0.0000 0.0000 0.5000 x2  4 Zn 2.28
Br 0.0000 0.0000 0.0000 x2  4 Zn 2.75
Br 0.0000 0.5000 0.7500 x2  4 Zn 2.80
N 0.0000 0.5000 0.2500 x2  4 Zn 1.94

Results
Total energy ... -3.17 eV/atom

Entry 11:
Compound: PdBrN
Source: the Open Quantum Materials Database
Functional: PBE
Structure: optimized geometry

Cell: 3.2787 4.0557 8.5381 Å, 90.00 90.00 90.00°
Closest atoms and distances in Å follow each position.
Space group Pmmn (No. 59, origin choice 2)
Unique sites:
Pd 0.2500 0.2500 0.1069 x2  4 N 2.09-2.10
Br 0.2500 0.7500 0.6665 x2  2 Pd 2.54
N 0.2500 0.7500 0.0476 x2  4 Pd 2.09-2.10

Results
Total energy ... -4.48 eV/atom

Entry 12:
Compound: Pm2Br3N
Source: the Open Quantum Materials Database
Functional: PBE
Structure: optimized geometry

Cell: 18.6407 4.0141 11.8589 Å, 90.00 124.69 90.00°
Closest atoms and distances in Å follow each position.
Space group C2/m (No. 12)
Unique sites:
Pm 0.0758 0.0000 0.4592 x4  2 N 2.31
Pm 0.1363 0.5000 0.7856 x4  2 N 2.40
Br 0.0373 0.5000 0.2481 x4  3 Pm 2.96-3.02
Br 0.1684 0.0000 0.0092 x4  3 Pm 3.02-3.10
Br 0.2157 0.5000 0.6203 x4  3 Pm 2.97-3.06
N 0.0743 0.0000 0.6531 x4  4 Pm 2.31-2.40

Results
Total energy ... -5.62 eV/atom

Copy entry 11 word for word.
Compound: PdBrN
Source: the Open Quantum Materials Database
Functional: PBE
Structure: optimized geometry

Cell: 3.2787 4.0557 8.5381 Å, 90.00 90.00 90.00°
Closest atoms and distances in Å follow each position.
Space group Pmmn (No. 59, origin choice 2)
Unique sites:
Pd 0.2500 0.2500 0.1069 x2  4 N 2.09-2.10
Br 0.2500 0.7500 0.6665 x2  2 Pd 2.54
N 0.2500 0.7500 0.0476 x2  4 Pd 2.09-2.10

Results
Total energy ... -4.48 eV/atom

What did the fourth record say?
Compound: TbNdBr3N
Source: the Open Quantum Materials Database
Functional: PBE
Structure: optimized geometry

Cell: 18.0963 3.9551 11.6149 Å, 90.00 124.15 90.00°
Closest atoms and distances in Å follow each position.
Space group C2/m (No. 12)
Unique sites:
Tb 0.1364 0.0000 0.2865 x4  2 N 2.35
Nd 0.0790 0.5000 0.9577 x4  2 N 2.34
Br 0.0361 0.0000 0.7381 x4  2 Nd 2.97, 1 Tb 2.97
Br 0.1683 0.5000 0.5096 x4  3 Tb 2.95-3.05
Br 0.2232 0.0000 0.1263 x4  2 Nd 2.97, 1 Tb 3.03
N 0.0766 0.5000 0.1572 x4  2 Nd 2.34, 2 Tb 2.35

Results
Energy relative to the lowest polymorph listed for this composition ... 3.80 kJ/mol of atoms